A plane-wave DFT calculation with GGA-PBE was carried out for an optimized crystal structure of Ce2Ga3Os.

- DOS at the Fermi energy (states/eV per atom) = 1.29
- ΔE_f (eV per atom) = -0.4672

POSCAR file:
```
Ce2Ga3Os
1.0
5.668 1.173 0.000
0.049 5.788 0.000
-2.858 -3.480 7.630
Ce Ga Os
4 6 2
Direct
0.750 0.250 0.500
0.738 0.262 0.000
0.250 0.750 0.500
0.262 0.738 0.000
0.835 0.835 0.168
0.667 0.667 0.832
0.165 0.165 0.832
0.333 0.333 0.168
0.170 0.170 0.341
0.830 0.830 0.659
0.660 0.660 0.319
0.340 0.340 0.681
```

***

A plane-wave DFT calculation with GGA-PBE was carried out for an optimized crystal structure of Ce2Ga3Os.

- DOS at the Fermi energy (states/eV per atom) = 1.31
- ΔE_f (eV per atom) = -0.4671

POSCAR file:
```
Ce2Ga3Os
1.0
-4.742 6.767 3.073
-8.776 -1.126 1.583
-0.887 1.346 8.312
Ce Ga Os
8 12 4
Direct
0.875 0.500 0.250
0.125 0.000 0.750
0.875 0.000 0.250
0.625 0.500 0.750
0.367 0.000 0.266
0.633 0.000 0.734
0.383 0.500 0.234
0.117 0.500 0.766
0.338 0.832 0.983
0.153 0.168 0.017
0.830 0.832 0.017
0.679 0.168 0.983
0.412 0.668 0.517
0.597 0.332 0.483
0.920 0.668 0.483
0.413 0.173 0.500
0.663 0.673 0.000
0.337 0.327 0.000
0.087 0.827 0.500
0.071 0.332 0.517
0.575 0.850 0.500
0.175 0.650 0.000
0.925 0.150 0.500
0.825 0.350 0.000
```

***

A plane-wave DFT calculation with GGA-PBE was carried out for an optimized crystal structure of Ce4GaOs2.

- DOS at the Fermi energy (states/eV per atom) = 1.67
- ΔE_f (eV per atom) = -0.2744

POSCAR file:
```
Ce4GaOs2
1.0
-4.570 -1.120 -4.954
5.860 -2.819 -2.330
-2.472 -4.404 6.767
Ce Ga Os
8 2 4
Direct
0.980 0.217 0.309
0.373 0.462 0.195
0.831 0.592 0.598
0.746 0.173 0.788
0.429 0.017 0.307
0.208 0.136 0.712
0.482 0.744 0.902
0.920 0.658 0.190
0.320 0.722 0.525
0.048 0.947 0.975
0.433 0.386 0.568
0.772 0.904 0.427
0.593 0.226 0.072
0.115 0.567 0.932
```

***

A plane-wave DFT calculation with GGA-PBE was carried out for an optimized crystal structure of Ce4Ga3Os.

- DOS at the Fermi energy (states/eV per atom) = 2.12
- ΔE_f (eV per atom) = -0.3909

POSCAR file:
```
Ce4Ga3Os
1.0
-1.251 3.383 -2.307
1.864 -1.647 -3.426
-9.032 -5.039 -2.491
Ce Ga Os
4 3 1
Direct
0.500 0.500 0.337
0.000 0.500 0.872
0.000 0.000 0.137
0.500 0.000 0.643
0.000 0.500 0.571
0.000 0.000 0.423
0.500 0.000 0.932
0.500 0.500 0.085
```

***

A plane-wave DFT calculation with GGA-PBE was carried out for an optimized crystal structure of CeGa2Os.

- DOS at the Fermi energy (states/eV per atom) = 1.23
- ΔE_f (eV per atom) = -0.2357

POSCAR file:
```
CeGa2Os
1.0
-3.072 -0.326 -0.747
0.690 -2.593 -1.704
-0.978 -4.072 5.801
Os Ga Ce
1 2 1
Direct
0.500 0.500 0.000
0.000 0.000 0.806
0.000 0.000 0.194
0.500 0.500 0.500
```

***

A plane-wave DFT calculation with GGA-PBE was carried out for an optimized crystal structure of Ce5GaOs3.

- DOS at the Fermi energy (states/eV per atom) = 2.24
- ΔE_f (eV per atom) = -0.0723

POSCAR file:
```
Ce5GaOs3
1.0
7.603 0.106 -0.083
2.183 7.284 -0.083
2.801 2.115 8.870
Ce Ga Os
10 2 6
Direct
0.984 0.365 0.362
0.293 0.707 0.000
0.768 0.768 0.059
0.465 0.465 0.344
0.535 0.535 0.656
0.232 0.232 0.941
0.365 0.984 0.362
0.707 0.293 0.000
0.016 0.635 0.638
0.635 0.016 0.638
0.080 0.080 0.711
0.920 0.920 0.289
0.666 0.666 0.840
0.686 0.686 0.385
0.000 0.000 0.000
0.000 0.000 0.500
0.334 0.334 0.160
0.314 0.314 0.615
```

***

A plane-wave DFT calculation with GGA-PBE was carried out for an optimized crystal structure of Ce5GaOs2.

- E above lowest polymorph (meV per atom) = 0
- DOS at the Fermi energy (states/eV per atom) = 1.86
- ΔE_f (eV per atom) = -0.2477

POSCAR file:
```
Ce5GaOs2
1.0
-1.509 3.563 -2.334
-3.343 -1.236 4.650
8.762 9.490 8.823
Ce Ga Os
10 2 4
Direct
0.916 0.833 0.893
0.916 0.833 0.607
0.403 0.806 0.426
0.403 0.806 0.074
0.792 0.585 0.250
0.208 0.415 0.750
0.597 0.194 0.574
0.597 0.194 0.926
0.084 0.167 0.107
0.084 0.167 0.393
0.495 0.991 0.750
0.505 0.009 0.250
0.747 0.494 0.425
0.747 0.494 0.075
0.253 0.506 0.575
0.253 0.506 0.925
```

***

A plane-wave DFT calculation with GGA-PBE was carried out for an optimized crystal structure of Ce3Ga3Os.

- DOS at the Fermi energy (states/eV per atom) = 1.50
- ΔE_f (eV per atom) = -0.4503

POSCAR file:
```
Ce3Ga3Os
1.0
-2.093 -2.638 1.260
4.765 -2.542 -2.535
7.249 0.511 13.112
Ce Ga Os
6 6 2
Direct
0.170 0.340 0.912
0.830 0.660 0.088
0.170 0.340 0.588
0.830 0.660 0.412
0.501 0.002 0.750
0.499 0.998 0.250
0.899 0.799 0.896
0.101 0.201 0.104
0.899 0.799 0.604
0.101 0.201 0.396
0.765 0.531 0.750
0.235 0.469 0.250
0.500 0.000 0.000
0.500 0.000 0.500
```

***

A plane-wave DFT calculation with GGA-PBE was carried out for an optimized crystal structure of Ce2Ga2Os.

- DOS at the Fermi energy (states/eV per atom) = 1.78
- ΔE_f (eV per atom) = -0.4294

POSCAR file:
```
Ce2Ga2Os
1.0
-0.585 3.879 -0.396
-1.679 2.279 5.179
9.013 3.740 3.695
Ce Ga Os
4 4 2
Direct
0.305 0.267 0.123
0.503 0.332 0.661
0.695 0.733 0.877
0.497 0.668 0.339
0.970 0.167 0.893
0.174 0.204 0.447
0.030 0.833 0.107
0.826 0.796 0.553
0.807 0.078 0.308
0.193 0.922 0.692
```

***

A plane-wave DFT calculation with GGA-PBE was carried out for an optimized crystal structure of CeGa4Os.

- E above lowest polymorph (meV per atom) = 30
- DOS at the Fermi energy (states/eV per atom) = 0.67
- ΔE_f (eV per atom) = -0.4340

POSCAR file:
```
CeGa4Os
1.0
4.211 0.000 0.000
0.000 6.950 0.000
0.000 0.000 7.636
Ce Ga Os
2 8 2
Direct
0.000 0.632 0.750
0.000 0.368 0.250
0.000 0.000 0.500
0.000 0.000 0.000
0.500 0.956 0.750
0.500 0.044 0.250
0.500 0.680 0.064
0.500 0.320 0.936
0.500 0.680 0.436
0.500 0.320 0.564
0.000 0.213 0.750
0.000 0.787 0.250
```

***

A plane-wave DFT calculation with GGA-PBE was carried out for an optimized crystal structure of Ce5GaOs.

- DOS at the Fermi energy (states/eV per atom) = 2.59
- ΔE_f (eV per atom) = -0.1009

POSCAR file:
```
Ce5GaOs
1.0
-2.040 2.882 4.992
-5.242 -2.390 2.050
2.459 -6.229 8.483
Ce Ga Os
10 2 2
Direct
0.005 0.554 0.157
0.207 0.492 0.559
0.554 0.005 0.657
0.953 0.047 0.250
0.508 0.793 0.941
0.492 0.207 0.059
0.047 0.953 0.750
0.446 0.995 0.343
0.793 0.508 0.441
0.995 0.446 0.843
0.460 0.540 0.250
0.540 0.460 0.750
0.000 0.000 0.000
0.000 0.000 0.500
```

***

A plane-wave DFT calculation with GGA-PBE was carried out for an optimized crystal structure of CeGa2Os.

- DOS at the Fermi energy (states/eV per atom) = 0.99
- ΔE_f (eV per atom) = -0.0310

POSCAR file:
```
CeGa2Os
1.0
-1.645 -1.123 2.273
1.367 -1.361 2.327
0.466 7.237 5.923
Os Ga Ce
1 2 1
Direct
0.000 0.000 0.000
0.737 0.737 0.790
0.263 0.263 0.210
0.500 0.500 0.500
```